A geometry-optimized Tb2DyTl2 structure. Source: Alexandria, functional PBE-GGA.

## Properties
Offset from the most stable computed form   47 meV per atom
Crystal system   orthorhombic
D(E_F)   1.041 states/eV/atom
E_tot   -19.78 eV/f.u.
Space group   Cmc2_1

a b c (Å): 5.452 6.520 8.545
angles (deg): 90.00 108.60 90.00
Positions (direct):
Tb (0.970, 0.787, 0.940)
Tb (0.803, 0.340, 0.606)
Tb (0.197, 0.840, 0.394)
Tb (0.030, 0.287, 0.060)
Dy (0.402, 0.085, 0.804)
Dy (0.598, 0.585, 0.196)
Tl (0.404, 0.568, 0.808)
Tl (0.783, 0.854, 0.565)
Tl (0.217, 0.354, 0.435)
Tl (0.596, 0.068, 0.192)